[1]
Tc2OsW PBE relaxed; ΔH_f (0 K) = 0.10 eV per atom; relative energy among the computed polymorphs = 36 meV per atom; total moment = 0.00 μB/atom; space group = Cmmm; raw total energy = -11.133 eV per atom
1.0
4.791 -0.002 0.000
-1.603 4.515 0.000
0.000 0.000 2.763
W Os Tc
1 1 2
direct
0.500 0.000 0.500 W
0.000 0.500 0.500 Os
0.500 0.500 0.000 Tc
0.000 0.000 0.000 Tc


[2]
TaRhSe2 PBE relaxed; relative energy among the computed polymorphs = 366 meV per atom; energy relative to the elements, uncorrected = -0.13 eV per atom; total moment = 0.00 μB/atom; space group = Fm-3m; raw total energy = -6.677 eV per atom
1.0
0.744 -4.407 -0.765
2.200 -2.496 3.081
-2.239 -3.128 2.402
Se Ta Rh
2 1 1
direct
0.250 0.250 0.250 Se
0.750 0.750 0.750 Se
0.500 0.500 0.500 Ta
0.000 0.000 0.000 Rh


[3]
LaNdSmIn PBE relaxed; ΔH_f (0 K) = -0.15 eV per atom; relative energy among the computed polymorphs = 93 meV per atom; total moment = 0.29 μB/atom; space group = F-43m; raw total energy = -4.439 eV per atom
1.0
-3.779 -3.444 -2.385
-3.286 -3.253 3.232
-5.512 1.119 0.445
Sm Nd La In
1 1 1 1
direct
0.750 0.750 0.750 Sm
0.000 0.000 0.000 Nd
0.500 0.500 0.500 La
0.250 0.250 0.250 In


[4]
Cs2HfBiO6 PBE relaxed; energy relative to the elements, uncorrected = -1.65 eV per atom; total moment = 0.11 μB/atom; space group = Fm-3m; raw total energy = -6.183 eV per atom
1.0
-3.716 4.413 1.996
-5.439 0.838 -2.643
-5.111 -1.443 3.010
O Cs Bi Hf
6 2 1 1
direct
0.245 0.755 0.755 O
0.755 0.245 0.245 O
0.245 0.755 0.245 O
0.755 0.755 0.245 O
0.245 0.245 0.755 O
0.755 0.245 0.755 O
0.250 0.250 0.250 Cs
0.750 0.750 0.750 Cs
0.500 0.500 0.500 Bi
0.000 0.000 0.000 Hf


[5]
Tb6TlSe5 PBE relaxed; energy relative to the elements, uncorrected = -1.53 eV per atom; total moment = 0.00 μB/atom; space group = C2/m; raw total energy = -5.498 eV per atom
1.0
-4.414 5.365 1.875
-3.895 -2.013 5.727
2.435 1.276 6.646
Se Tb Tl
5 6 1
direct
0.500 0.500 0.000 Se
0.500 0.165 0.670 Se
0.000 0.333 0.334 Se
0.500 0.835 0.330 Se
0.000 0.667 0.666 Se
0.746 0.423 0.660 Tb
0.254 0.916 0.660 Tb
0.254 0.577 0.340 Tb
0.746 0.084 0.340 Tb
0.251 0.256 0.000 Tb
0.749 0.744 0.000 Tb
0.000 0.000 0.000 Tl


[6]
TaNb6Mo12 PBE relaxed; ΔH_f (0 K) = 0.97 eV per atom; total moment = 0.00 μB/atom; space group = R-3m; raw total energy = -9.677 eV per atom
1.0
7.241 0.055 -0.445
-0.476 7.226 -0.445
0.051 0.055 7.255
Nb Mo Ta
6 12 1
direct
0.832 0.309 0.832 Nb
0.309 0.832 0.832 Nb
0.832 0.832 0.309 Nb
0.168 0.168 0.691 Nb
0.691 0.168 0.168 Nb
0.168 0.691 0.168 Nb
0.151 0.500 0.849 Mo
0.151 0.849 0.500 Mo
0.500 0.151 0.849 Mo
0.849 0.500 0.151 Mo
0.495 0.495 0.229 Mo
0.505 0.771 0.505 Mo
0.771 0.505 0.505 Mo
0.849 0.151 0.500 Mo
0.495 0.229 0.495 Mo
0.500 0.849 0.151 Mo
0.229 0.495 0.495 Mo
0.505 0.505 0.771 Mo
0.000 0.000 0.000 Ta


[7]
NpTl2InS4 PBE relaxed; energy relative to the elements, uncorrected = -0.73 eV per atom; total moment = 0.48 μB/atom; space group = P2/m; raw total energy = -5.347 eV per atom
1.0
-3.091 1.054 -2.276
2.183 -4.473 -5.034
-4.819 -3.979 4.702
S Tl Np In
4 2 1 1
direct
0.000 0.272 0.803 S
0.000 0.728 0.197 S
0.500 0.228 0.192 S
0.500 0.772 0.808 S
0.500 0.000 0.500 Tl
0.000 0.500 0.500 Tl
0.500 0.500 0.000 Np
0.000 0.000 0.000 In


[8]
Na5Hg6Bi PBE relaxed; ΔH_f (0 K) = -0.25 eV per atom; total moment = 0.00 μB/atom; space group = Immm; raw total energy = -1.270 eV per atom
1.0
-2.435 1.048 -4.312
5.941 -4.308 -4.403
-5.663 -4.495 5.076
Hg Na Bi
6 5 1
direct
0.827 0.566 0.654 Hg
0.500 0.731 0.000 Hg
0.500 0.269 0.000 Hg
0.173 0.912 0.346 Hg
0.827 0.088 0.654 Hg
0.173 0.434 0.346 Hg
0.331 0.331 0.662 Na
0.345 0.845 0.691 Na
0.655 0.155 0.309 Na
0.669 0.669 0.338 Na
0.000 0.500 0.000 Na
0.000 0.000 0.000 Bi


[9]
Tb4YHo4 PBE relaxed; ΔH_f (0 K) = 0.02 eV per atom; total moment = 0.00 μB/atom; space group = I4/mmm; raw total energy = -4.791 eV per atom
1.0
5.006 0.000 0.000
2.503 7.529 0.000
2.503 0.000 7.529
Tb Ho Y
4 4 1
direct
0.000 0.333 0.667 Tb
0.333 0.667 0.667 Tb
0.000 0.667 0.333 Tb
0.667 0.333 0.333 Tb
0.333 0.000 0.334 Ho
0.667 0.666 0.000 Ho
0.667 0.000 0.666 Ho
0.333 0.334 0.000 Ho
0.000 0.000 0.000 Y


[10]
Cr2SiCl PBE relaxed; relative energy among the computed polymorphs = 168 meV per atom; energy relative to the elements, uncorrected = 0.18 eV per atom; total moment = 1.63 μB/atom; space group = P4/mmm; raw total energy = -6.452 eV per atom
1.0
-1.880 2.232 0.661
-2.310 -1.684 -0.884
-0.663 -2.458 6.412
Cr Cl Si
2 1 1
direct
0.000 0.000 0.461 Cr
0.000 0.000 0.039 Cr
0.500 0.500 0.750 Cl
0.500 0.500 0.250 Si


[11]
InSi2Au PBE relaxed; energy relative to the elements, uncorrected = 0.39 eV per atom; total moment = 0.00 μB/atom; space group = I-4m2; raw total energy = -3.822 eV per atom
1.0
-3.477 -2.980 -1.933
-0.240 -3.667 3.346
-0.343 4.886 0.847
Si In Au
2 1 1
direct
0.250 0.750 0.500 Si
0.000 0.000 0.000 Si
0.750 0.250 0.500 In
0.500 0.500 0.000 Au


[12]
GaP2RuCl PBE relaxed; relative energy among the computed polymorphs = 887 meV per atom; energy relative to the elements, uncorrected = 1.13 eV per atom; total moment = 0.44 μB/atom; space group = P4/mmm; raw total energy = -3.866 eV per atom
1.0
4.675 0.000 0.000
0.000 4.675 0.000
0.000 0.000 4.708
P Ga Ru Cl
2 1 1 1
direct
0.500 0.000 0.000 P
0.000 0.500 0.000 P
0.000 0.000 0.000 Ga
0.500 0.500 0.500 Ru
0.000 0.000 0.500 Cl


| no. | DOS(E_F) (states/eV per cell) |
| --- | --- |
| 1 | 3.1 |
| 2 | 2.4 |
| 3 | 6.5 |
| 4 | 8.1 |
| 5 | 6.0 |
| 6 | 18.8 |
| 7 | 10.7 |
| 8 | 3.6 |
| 9 | 13.2 |
| 10 | 2.3 |
| 11 | 1.3 |
| 12 | 4.6 |